DFT (GGA-PBE) results for PuGe6Rh6 after structural relaxation. Values from VASP.

Properties
As for the size of the total moment: 5.59 μB/f.u. Its density of states at the Fermi level is 13.184 states/eV/f.u. The energy relative to the elements is -0.516 eV/atom.

```
&SYSTEM
  ibrav = 0, nat = 13, ntyp = 3
/
ATOMIC_SPECIES
Pu 244.00 Pu.upf
Ge 72.64 Ge.upf
Rh 102.91 Rh.upf
ATOMIC_POSITIONS crystal
Pu 0.000 0.000 0.000
Ge 0.160 0.660 0.500
Ge 0.328 0.328 0.000
Ge 0.347 0.000 0.347
Ge 0.653 0.000 0.653
Ge 0.672 0.672 0.000
Ge 0.840 0.340 0.500
Rh 0.000 0.000 0.500
Rh 0.000 0.500 0.000
Rh 0.264 0.500 0.764
Rh 0.500 0.000 0.000
Rh 0.500 0.500 0.500
Rh 0.736 0.500 0.236
CELL_PARAMETERS angstrom
-2.746 4.019 4.761
2.746 -4.019 4.761
2.746 4.019 -4.761
```



DFT (GGA-PBE) results for La4Sm3MgTe8 after structural relaxation. Values from VASP.

Properties
As for the uncorrected formation energy: -1.39 eV/atom. As for the size of the total moment: 0.00 μB/f.u. Its density of states at the Fermi level is 11.697 states/eV/f.u.

```
&SYSTEM
  ibrav = 0, nat = 16, ntyp = 4
/
ATOMIC_SPECIES
La 138.91 La.upf
Sm 150.36 Sm.upf
Mg 24.30 Mg.upf
Te 127.60 Te.upf
ATOMIC_POSITIONS crystal
La 0.000 0.000 0.000
La 0.000 0.500 0.500
La 0.500 0.000 0.500
La 0.500 0.500 0.000
Sm 0.000 0.000 0.500
Sm 0.000 0.500 0.000
Sm 0.500 0.000 0.000
Mg 0.500 0.500 0.500
Te 0.247 0.247 0.247
Te 0.255 0.738 0.738
Te 0.262 0.262 0.745
Te 0.262 0.745 0.262
Te 0.738 0.255 0.738
Te 0.738 0.738 0.255
Te 0.745 0.262 0.262
Te 0.753 0.753 0.753
CELL_PARAMETERS angstrom
4.511 2.604 7.298
-4.511 2.604 7.298
0.000 -5.209 7.298
```



DFT (GGA-PBE) results for VCu3Au after structural relaxation. Values from VASP.

Properties
As for the size of the total moment: 2.45 μB/f.u. Its density of states at the Fermi level is 4.918 states/eV/f.u. The energy relative to the elements is 1.295 eV/atom. The calculation puts the energy above the most stable polymorph in this dataset at 103.2 kJ/mol of formula units.

```
&SYSTEM
  ibrav = 0, nat = 5, ntyp = 3
/
ATOMIC_SPECIES
V 50.94 V.upf
Cu 63.55 Cu.upf
Au 196.97 Au.upf
ATOMIC_POSITIONS crystal
V 0.000 0.000 0.000
Cu 0.000 0.000 0.500
Cu 0.000 0.500 0.000
Cu 0.500 0.000 0.000
Au 0.500 0.500 0.500
CELL_PARAMETERS angstrom
4.514 0.000 0.000
0.000 4.514 0.000
0.000 0.000 4.514
```



DFT (GGA-PBE) results for Th4BiC2 after structural relaxation. Values from VASP.

Properties
As for the size of the total moment: 0.00 μB/f.u. Its density of states at the Fermi level is 4.402 states/eV/f.u. The energy relative to the elements is -0.336 eV/atom.

```
&SYSTEM
  ibrav = 0, nat = 14, ntyp = 3
/
ATOMIC_SPECIES
Th 232.04 Th.upf
Bi 208.98 Bi.upf
C 12.01 C.upf
ATOMIC_POSITIONS crystal
Th 0.000 0.000 0.000
Th 0.000 0.000 0.500
Th 0.262 0.738 0.602
Th 0.262 0.738 0.898
Th 0.409 0.591 0.250
Th 0.591 0.409 0.750
Th 0.738 0.262 0.102
Th 0.738 0.262 0.398
Bi 0.103 0.897 0.250
Bi 0.897 0.103 0.750
C 0.364 0.636 0.061
C 0.364 0.636 0.439
C 0.636 0.364 0.561
C 0.636 0.364 0.939
CELL_PARAMETERS angstrom
1.994 -6.454 0.000
1.994 6.454 0.000
0.000 0.000 13.422
```



DFT (GGA-PBE) results for La2YAg after structural relaxation. Values from VASP.

Properties
As for the size of the total moment: 0.00 μB/f.u. Its density of states at the Fermi level is 3.714 states/eV/f.u. The energy relative to the elements is -0.009 eV/atom. The calculation puts the energy above the most stable polymorph in this dataset at 45.3 kJ/mol of formula units.

```
&SYSTEM
  ibrav = 0, nat = 4, ntyp = 3
/
ATOMIC_SPECIES
La 138.91 La.upf
Y 88.91 Y.upf
Ag 107.87 Ag.upf
ATOMIC_POSITIONS crystal
La 0.242 0.242 0.242
La 0.758 0.758 0.758
Y 0.000 0.000 0.000
Ag 0.500 0.500 0.500
CELL_PARAMETERS angstrom
1.868 1.079 10.701
-1.868 1.079 10.701
0.000 -2.157 10.701
```



DFT (GGA-PBE) results for MgMnIr after structural relaxation. Values from VASP.

Properties
As for the size of the total moment: 2.00 μB/f.u. Its density of states at the Fermi level is 2.036 states/eV/f.u. The energy relative to the elements is -0.058 eV/atom.

```
&SYSTEM
  ibrav = 0, nat = 3, ntyp = 3
/
ATOMIC_SPECIES
Mg 24.30 Mg.upf
Mn 54.94 Mn.upf
Ir 192.22 Ir.upf
ATOMIC_POSITIONS crystal
Mg 0.000 0.000 0.000
Mn 0.314 0.314 0.000
Ir 0.681 0.681 0.000
CELL_PARAMETERS angstrom
-1.430 1.430 5.502
1.430 -1.430 5.502
1.430 1.430 -5.502
```



DFT (GGA-PBE) results for Pm2Tm2Sb2C after structural relaxation. Values from VASP.

Properties
As for the uncorrected formation energy: -0.86 eV/atom. As for the size of the total moment: 0.00 μB/f.u. Its density of states at the Fermi level is 6.206 states/eV/f.u.

```
&SYSTEM
  ibrav = 0, nat = 7, ntyp = 4
/
ATOMIC_SPECIES
Pm 145.00 Pm.upf
Tm 168.93 Tm.upf
Sb 121.76 Sb.upf
C 12.01 C.upf
ATOMIC_POSITIONS crystal
Pm 0.163 0.163 0.000
Pm 0.837 0.837 0.000
Tm 0.000 0.500 0.500
Tm 0.500 0.000 0.500
Sb 0.363 0.363 0.000
Sb 0.637 0.637 0.000
C 0.000 0.000 0.000
CELL_PARAMETERS angstrom
-2.361 2.361 8.105
2.361 -2.361 8.105
2.361 2.361 -8.105
```



DFT (GGA-PBE) results for LiCe2Pb after structural relaxation. Values from VASP.

Properties
As for the size of the total moment: 1.05 μB/f.u. Its density of states at the Fermi level is 10.246 states/eV/f.u. The energy relative to the elements is 0.097 eV/atom.

```
&SYSTEM
  ibrav = 0, nat = 4, ntyp = 3
/
ATOMIC_SPECIES
Li 6.94 Li.upf
Ce 140.12 Ce.upf
Pb 207.20 Pb.upf
ATOMIC_POSITIONS crystal
Li 0.000 0.000 0.000
Ce 0.088 0.088 0.088
Ce 0.912 0.912 0.912
Pb 0.500 0.500 0.500
CELL_PARAMETERS angstrom
1.623 0.937 12.266
-1.623 0.937 12.266
0.000 -1.875 12.266
```



DFT (GGA-PBE) results for Re2Si2Sn after structural relaxation. Values from VASP.

Properties
As for the uncorrected formation energy: 0.15 eV/atom. As for the size of the total moment: 0.00 μB/f.u. Its density of states at the Fermi level is 5.472 states/eV/f.u.

```
&SYSTEM
  ibrav = 0, nat = 10, ntyp = 3
/
ATOMIC_SPECIES
Re 186.21 Re.upf
Si 28.09 Si.upf
Sn 118.71 Sn.upf
ATOMIC_POSITIONS crystal
Re 0.148 0.352 0.000
Re 0.352 0.852 0.000
Re 0.648 0.148 0.000
Re 0.852 0.648 0.000
Si 0.141 0.641 0.500
Si 0.359 0.141 0.500
Si 0.641 0.859 0.500
Si 0.859 0.359 0.500
Sn 0.000 0.000 0.000
Sn 0.500 0.500 0.000
CELL_PARAMETERS angstrom
7.332 0.000 0.000
0.000 7.332 0.000
0.000 0.000 2.939
```



DFT (GGA-PBE) results for InSbTe after structural relaxation. Values from VASP.

Properties
As for the uncorrected formation energy: 0.02 eV/atom. As for the size of the total moment: 0.00 μB/f.u. Its density of states at the Fermi level is 0.961 states/eV/f.u. The calculation puts the energy above the most stable polymorph in this dataset at 34.7 kJ/mol of formula units.

```
&SYSTEM
  ibrav = 0, nat = 3, ntyp = 3
/
ATOMIC_SPECIES
In 114.82 In.upf
Sb 121.76 Sb.upf
Te 127.60 Te.upf
ATOMIC_POSITIONS crystal
In 0.000 0.000 0.000
Sb 0.573 0.589 0.884
Te 0.379 0.205 0.398
CELL_PARAMETERS angstrom
4.492 0.000 0.000
0.522 4.529 0.000
0.082 1.080 4.841
```



DFT (GGA-PBE) results for Ba2PaPbSe6 after structural relaxation. Values from VASP.

Properties
As for the uncorrected formation energy: -1.38 eV/atom. As for the size of the total moment: 0.00 μB/f.u. Its density of states at the Fermi level is 4.967 states/eV/f.u.

```
&SYSTEM
  ibrav = 0, nat = 20, ntyp = 4
/
ATOMIC_SPECIES
Ba 137.33 Ba.upf
Pa 231.04 Pa.upf
Pb 207.20 Pb.upf
Se 78.96 Se.upf
ATOMIC_POSITIONS crystal
Ba 0.215 0.082 0.246
Ba 0.215 0.418 0.746
Ba 0.785 0.582 0.254
Ba 0.785 0.918 0.754
Pa 0.500 0.000 0.000
Pa 0.500 0.500 0.500
Pb 0.000 0.000 0.500
Pb 0.000 0.500 0.000
Se 0.151 0.187 0.950
Se 0.151 0.313 0.450
Se 0.263 0.708 0.943
Se 0.263 0.792 0.443
Se 0.367 0.029 0.758
Se 0.367 0.471 0.258
Se 0.633 0.529 0.742
Se 0.633 0.971 0.242
Se 0.737 0.208 0.557
Se 0.737 0.292 0.057
Se 0.849 0.687 0.550
Se 0.849 0.813 0.050
CELL_PARAMETERS angstrom
7.531 0.000 0.000
0.000 8.040 0.000
-7.305 0.000 10.879
```